## ZnIn2W (PBE-GGA)

Data for crystalline ZnIn2W at its relaxed geometry.

Geometry as CIF:
```
data_ZnIn2W
_chemical_formula_sum 'Zn1 In2 W1'
_cell_length_a 5.4064
_cell_length_b 5.4064
_cell_length_c 5.4064
_cell_angle_alpha 136.76
_cell_angle_beta 136.29
_cell_angle_gamma 63.17
_symmetry_space_group_name_H-M 'P 1'
_symmetry_Int_Tables_number 1
loop_
_symmetry_equiv_pos_as_xyz
'x,y,z'
loop_
_atom_site_label
_atom_site_type_symbol
_atom_site_fract_x
_atom_site_fract_y
_atom_site_fract_z
Zn1 Zn 0.2521 0.7521 0.5000
In1 In 0.7491 0.2491 0.5000
In2 In 0.0018 0.0018 0.0000
W1 W 0.4970 0.4970 0.0000
```

Output
E_form: 453 meV per atom

***

## ZrTaN3 (PBE-GGA)

Data for crystalline ZrTaN3 at its relaxed geometry.

Geometry as CIF:
```
data_ZrTaN3
_chemical_formula_sum 'Zr2 Ta2 N6'
_cell_length_a 3.4046
_cell_length_b 5.7936
_cell_length_c 6.6839
_cell_angle_alpha 90.00
_cell_angle_beta 104.76
_cell_angle_gamma 90.00
_symmetry_space_group_name_H-M 'P 1'
_symmetry_Int_Tables_number 1
loop_
_symmetry_equiv_pos_as_xyz
'x,y,z'
loop_
_atom_site_label
_atom_site_type_symbol
_atom_site_fract_x
_atom_site_fract_y
_atom_site_fract_z
Zr1 Zr 0.3076 0.5583 0.6152
N1 N 0.1603 0.7978 0.3206
N2 N 0.4865 0.5792 0.9730
Ta1 Ta 0.0625 0.5469 0.1250
Ta2 Ta 0.9375 0.0469 0.8750
N3 N 0.1718 0.3120 0.3436
N4 N 0.5135 0.0792 0.0270
N5 N 0.8282 0.8120 0.6564
Zr2 Zr 0.6924 0.0583 0.3848
N6 N 0.8397 0.2978 0.6794
```

Output
energy relative to the elements, uncorrected: -1.16 eV/atom

***

## Tm3FeTe (PBE-GGA)

Data for crystalline Tm3FeTe at its relaxed geometry.

Geometry as CIF:
```
data_Tm3FeTe
_chemical_formula_sum 'Tm6 Fe2 Te2'
_cell_length_a 3.9090
_cell_length_b 8.2660
_cell_length_c 8.1922
_cell_angle_alpha 108.83
_cell_angle_beta 90.00
_cell_angle_gamma 90.00
_symmetry_space_group_name_H-M 'P 1'
_symmetry_Int_Tables_number 1
loop_
_symmetry_equiv_pos_as_xyz
'x,y,z'
loop_
_atom_site_label
_atom_site_type_symbol
_atom_site_fract_x
_atom_site_fract_y
_atom_site_fract_z
Tm1 Tm 0.7500 0.4080 0.6846
Te1 Te 0.7500 0.7648 0.6246
Tm2 Tm 0.7500 0.9223 0.3096
Tm3 Tm 0.2500 0.0777 0.6904
Fe1 Fe 0.2500 0.4296 0.9451
Te2 Te 0.2500 0.2352 0.3754
Tm4 Tm 0.2500 0.7623 0.9380
Fe2 Fe 0.7500 0.5704 0.0549
Tm5 Tm 0.7500 0.2377 0.0620
Tm6 Tm 0.2500 0.5920 0.3154
```

Output
energy relative to the elements, uncorrected: -0.56 eV/atom
excess energy over the best structure of this formula in the dataset: 0.000 eV per formula unit

***

## Er2Tm2Pb (PBE-GGA)

Data for crystalline Er2Tm2Pb at its relaxed geometry.

Geometry as CIF:
```
data_Er2Tm2Pb
_chemical_formula_sum 'Er4 Tm4 Pb2'
_cell_length_a 4.9663
_cell_length_b 7.3645
_cell_length_c 8.0333
_cell_angle_alpha 86.49
_cell_angle_beta 90.00
_cell_angle_gamma 90.00
_symmetry_space_group_name_H-M 'P 1'
_symmetry_Int_Tables_number 1
loop_
_symmetry_equiv_pos_as_xyz
'x,y,z'
loop_
_atom_site_label
_atom_site_type_symbol
_atom_site_fract_x
_atom_site_fract_y
_atom_site_fract_z
Tm1 Tm 0.2500 0.1717 0.4429
Er1 Er 0.7500 0.2572 0.7339
Pb1 Pb 0.7500 0.4422 0.3304
Tm2 Tm 0.2500 0.3543 0.0243
Er2 Er 0.7500 0.0605 0.1431
Tm3 Tm 0.7500 0.8283 0.5571
Er3 Er 0.2500 0.9395 0.8569
Tm4 Tm 0.7500 0.6457 0.9757
Er4 Er 0.2500 0.7428 0.2661
Pb2 Pb 0.2500 0.5578 0.6696
```

Output
E_form: -188 meV per atom
excess energy over the best structure of this formula in the dataset: 0.000 eV per formula unit

***

## LaPrZnCd (PBE-GGA)

Data for crystalline LaPrZnCd at its relaxed geometry.

Geometry as CIF:
```
data_LaPrZnCd
_chemical_formula_sum 'La1 Pr1 Zn1 Cd1'
_cell_length_a 5.4134
_cell_length_b 5.4134
_cell_length_c 5.4134
_cell_angle_alpha 60.00
_cell_angle_beta 60.00
_cell_angle_gamma 60.00
_symmetry_space_group_name_H-M 'P 1'
_symmetry_Int_Tables_number 1
loop_
_symmetry_equiv_pos_as_xyz
'x,y,z'
loop_
_atom_site_label
_atom_site_type_symbol
_atom_site_fract_x
_atom_site_fract_y
_atom_site_fract_z
Zn1 Zn 0.2500 0.2500 0.2500
Cd1 Cd 0.7500 0.7500 0.7500
Pr1 Pr 0.5000 0.5000 0.5000
La1 La 0.0000 0.0000 0.0000
```

Output
E_form: -297 meV per atom
excess energy over the best structure of this formula in the dataset: 0.094 eV per formula unit

***

## Ho3CuRh8 (PBE-GGA)

Data for crystalline Ho3CuRh8 at its relaxed geometry.

Geometry as CIF:
```
data_Ho3CuRh8
_chemical_formula_sum 'Ho3 Cu1 Rh8'
_cell_length_a 5.2714
_cell_length_b 5.2714
_cell_length_c 9.1557
_cell_angle_alpha 73.27
_cell_angle_beta 73.27
_cell_angle_gamma 60.00
_symmetry_space_group_name_H-M 'P 1'
_symmetry_Int_Tables_number 1
loop_
_symmetry_equiv_pos_as_xyz
'x,y,z'
loop_
_atom_site_label
_atom_site_type_symbol
_atom_site_fract_x
_atom_site_fract_y
_atom_site_fract_z
Cu1 Cu 0.1347 0.1347 0.5959
Rh1 Rh 0.5623 0.0607 0.8146
Rh2 Rh 0.3112 0.3112 0.0665
Ho1 Ho 0.4930 0.4930 0.5211
Ho2 Ho 0.6233 0.6233 0.1300
Rh3 Rh 0.5607 0.0607 0.3178
Rh4 Rh 0.5623 0.5623 0.8146
Rh5 Rh 0.8109 0.8109 0.5673
Rh6 Rh 0.0607 0.5607 0.3178
Rh7 Rh 0.0607 0.0607 0.3178
Ho3 Ho 0.0093 0.0093 0.9721
Rh8 Rh 0.0607 0.5623 0.8146
```

Output
E_form: -534 meV per atom